Computed, not measured: an optimized crystal structure of FeRuBr at the PBE-GGA level of DFT.

Values from the calculation:
The calculation puts the magnetic moment at 4.2 μB/f.u. Its uncorrected formation energy is 0.691 eV/atom. The calculation puts the total DFT energy (no corrections) at -5.780 eV/atom.

a = 6.5430 Å, b = 6.2165 Å, c = 3.1167 Å
α = 81.77°, β = 70.10°, γ = 28.13°
Closest atoms and distances in Å follow each position.
Positions (direct):
Br: 0.0077 0.0077 0.9923  2 Fe 2.62, 2 Ru 2.84
Fe: 0.6769 0.6769 0.3231  2 Ru 2.35, 2 Br 2.62
Ru: 0.3154 0.3154 0.6846  2 Fe 2.35

Computed, not measured: an optimized crystal structure of FeRuBr at the PBE-GGA level of DFT.

Values from the calculation:
The calculation puts the magnetic moment at 3.3 μB/f.u. Its uncorrected formation energy is 0.689 eV/atom. The calculation puts the total DFT energy (no corrections) at -5.782 eV/atom.

a = 5.7641 Å, b = 5.7639 Å, c = 5.7639 Å
α = 149.44°, β = 149.43°, γ = 43.77°
Closest atoms and distances in Å follow each position.
Positions (direct):
Ru: 0.6840 0.6843 0.9998  4 Fe 2.55
Br: 0.0030 0.0032 0.9999  4 Ru 2.89, 4 Fe 2.96, 4 Br 3.04
Fe: 0.3129 0.3126 0.0004  4 Ru 2.55

Computed, not measured: an optimized crystal structure of FeRu2Br at the PBE-GGA level of DFT.

Values from the calculation:
The calculation puts the magnetic moment at 2.8 μB/f.u. Its uncorrected formation energy is 0.955 eV/atom. The calculation puts the total DFT energy (no corrections) at -6.217 eV/atom.

a = 4.3866 Å, b = 4.3866 Å, c = 4.3866 Å
α = 60.00°, β = 60.00°, γ = 60.00°
Closest atoms and distances in Å follow each position.
Positions (direct):
Br: 0.5000 0.5000 0.5000  4 Fe 2.69, 4 Ru 2.69
Ru: 0.0000 0.0000 0.0000  4 Ru 2.69, 4 Fe 2.69
Ru: 0.2500 0.2500 0.2500  4 Br 2.69, 4 Ru 2.69
Fe: 0.7500 0.7500 0.7500  4 Ru 2.69, 4 Br 2.69

Computed, not measured: an optimized crystal structure of Fe2RuBr at the PBE-GGA level of DFT.

Values from the calculation:
The calculation puts the magnetic moment at 7.1 μB/f.u. Its uncorrected formation energy is 0.869 eV/atom. The calculation puts the total DFT energy (no corrections) at -6.099 eV/atom.

a = 4.1513 Å, b = 3.7997 Å, c = 3.7997 Å
α = 90.00°, β = 90.00°, γ = 90.00°
Closest atoms and distances in Å follow each position.
Positions (direct):
Br: 0.5000 0.0000 0.5000  4 Ru 2.69, 8 Fe 2.81
Ru: 0.5000 0.5000 0.0000  4 Br 2.69, 8 Fe 2.81
Fe: 0.0000 0.0000 0.0000  4 Fe 2.69, 4 Br 2.81, 4 Ru 2.81
Fe: 0.0000 0.5000 0.5000  4 Fe 2.69, 4 Br 2.81, 4 Ru 2.81

Computed, not measured: an optimized crystal structure of Fe2RuBr at the PBE-GGA level of DFT.

Values from the calculation:
The calculation puts the magnetic moment at 5.5 μB/f.u. Its uncorrected formation energy is 0.426 eV/atom. The calculation puts the total DFT energy (no corrections) at -6.542 eV/atom.

a = 3.0462 Å, b = 3.1049 Å, c = 6.8835 Å
α = 89.78°, β = 90.00°, γ = 90.00°
Closest atoms and distances in Å follow each position.
Positions (direct):
Ru: 0.0000 0.7505 0.4306  5 Fe 2.50-2.56, 2 Br 2.72
Fe: 0.5000 0.2523 0.2517  4 Ru 2.50, 4 Fe 2.55
Fe: 0.0000 0.7539 0.0589  4 Fe 2.55, 1 Ru 2.56, 2 Br 2.57
Br: 0.5000 0.7432 0.7587  2 Fe 2.57, 2 Ru 2.72

Computed, not measured: an optimized crystal structure of Fe2RuBr at the PBE-GGA level of DFT.

Values from the calculation:
The calculation puts the magnetic moment at 3.0 μB/f.u. Its uncorrected formation energy is 1.030 eV/atom. The calculation puts the total DFT energy (no corrections) at -5.938 eV/atom.

a = 5.6961 Å, b = 5.6961 Å, c = 6.1627 Å
α = 62.47°, β = 62.47°, γ = 90.00°
Closest atoms and distances in Å follow each position.
Positions (direct):
Ru: 0.7500 0.2500 0.5000  4 Fe 2.26
Ru: 0.0000 0.0000 0.0000  4 Fe 2.26
Fe: 0.6449 0.1250 0.2500  2 Ru 2.26, 2 Br 2.40
Fe: 0.1051 0.6250 0.2500  2 Ru 2.26, 2 Br 2.40
Fe: 0.8750 0.8949 0.7500  2 Ru 2.26, 2 Br 2.40
Fe: 0.3750 0.3551 0.7500  2 Ru 2.26, 2 Br 2.40
Br: 0.2500 0.7500 0.5000  4 Fe 2.40
Br: 0.5000 0.5000 0.0000  4 Fe 2.40

Computed, not measured: an optimized crystal structure of Fe3RuBr at the PBE-GGA level of DFT.

Values from the calculation:
The calculation puts the magnetic moment at 10.5 μB/f.u. Its uncorrected formation energy is 1.311 eV/atom. The calculation puts the total DFT energy (no corrections) at -5.956 eV/atom.

a = 4.6925 Å, b = 4.6925 Å, c = 4.6925 Å
α = 90.00°, β = 90.00°, γ = 90.00°
Closest atoms and distances in Å follow each position.
Positions (direct):
Fe: 0.0000 0.5000 0.0000  2 Ru 2.35
Fe: 0.0000 0.0000 0.5000  2 Ru 2.35
Fe: 0.5000 0.0000 0.0000  2 Ru 2.35
Ru: 0.0000 0.0000 0.0000  6 Fe 2.35
Br: 0.5000 0.5000 0.5000  12 Fe 3.32

Computed, not measured: an optimized crystal structure of Fe2RuBr at the PBE-GGA level of DFT.

Values from the calculation:
The calculation puts the magnetic moment at 6.2 μB/f.u. Its uncorrected formation energy is 0.735 eV/atom. The calculation puts the total DFT energy (no corrections) at -6.234 eV/atom.

a = 5.1712 Å, b = 5.1712 Å, c = 4.3780 Å
α = 64.80°, β = 64.80°, γ = 33.52°
Closest atoms and distances in Å follow each position.
Positions (direct):
Fe: 0.9969 0.9969 0.0039  4 Fe 2.64-2.65, 2 Br 2.65, 2 Ru 2.70
Fe: 0.5031 0.5031 0.4961  4 Fe 2.64-2.65, 2 Br 2.65, 2 Ru 2.70
Br: 0.2500 0.2500 0.2500  4 Ru 2.65, 4 Fe 2.65
Ru: 0.7500 0.7500 0.7500  4 Br 2.65, 4 Fe 2.70

Computed, not measured: an optimized crystal structure of FeRuBr at the PBE-GGA level of DFT.

Values from the calculation:
The calculation puts the magnetic moment at 3.9 μB/f.u. Its uncorrected formation energy is 0.864 eV/atom. The calculation puts the total DFT energy (no corrections) at -5.606 eV/atom.

a = 4.2467 Å, b = 4.2467 Å, c = 4.2467 Å
α = 60.00°, β = 60.00°, γ = 60.00°
Closest atoms and distances in Å follow each position.
Positions (direct):
Ru: 0.7500 0.7500 0.7500  4 Fe 2.60, 4 Br 2.60
Br: 0.0000 0.0000 0.0000  4 Ru 2.60
Fe: 0.5000 0.5000 0.5000  4 Ru 2.60

Computed, not measured: an optimized crystal structure of FeRuBr at the PBE-GGA level of DFT.

Values from the calculation:
The calculation puts the magnetic moment at 3.0 μB/f.u. Its uncorrected formation energy is 0.885 eV/atom. The calculation puts the total DFT energy (no corrections) at -5.585 eV/atom.

a = 4.1927 Å, b = 4.1927 Å, c = 3.0363 Å
α = 90.00°, β = 90.00°, γ = 120.00°
Closest atoms and distances in Å follow each position.
Positions (direct):
Br: 0.0000 0.0000 0.0164  3 Fe 2.52, 3 Ru 2.57
Fe: 0.6667 0.3333 0.2506  3 Br 2.52
Ru: 0.3333 0.6667 0.7329  3 Br 2.57, 3 Fe 2.83

Computed, not measured: an optimized crystal structure of Fe2RuBr at the PBE-GGA level of DFT.

Values from the calculation:
The calculation puts the magnetic moment at 7.4 μB/f.u. Its uncorrected formation energy is 0.454 eV/atom. The calculation puts the total DFT energy (no corrections) at -6.515 eV/atom.

a = 3.0814 Å, b = 3.1438 Å, c = 7.0113 Å
α = 90.01°, β = 90.00°, γ = 90.00°
Closest atoms and distances in Å follow each position.
Positions (direct):
Br: 0.5000 0.7500 0.7500  4 Fe 2.63
Fe: 0.0000 0.7499 0.0542  4 Ru 2.59, 2 Br 2.63, 1 Fe 2.75
Fe: 0.0000 0.7501 0.4458  4 Ru 2.59, 2 Br 2.63, 1 Fe 2.75
Ru: 0.5000 0.2500 0.2500  8 Fe 2.59

Computed, not measured: an optimized crystal structure of Fe3RuBr at the PBE-GGA level of DFT.

Values from the calculation:
The calculation puts the magnetic moment at 9.0 μB/f.u. Its uncorrected formation energy is 1.420 eV/atom. The calculation puts the total DFT energy (no corrections) at -5.848 eV/atom.

a = 4.4279 Å, b = 4.4279 Å, c = 4.4279 Å
α = 90.00°, β = 90.00°, γ = 90.00°
Closest atoms and distances in Å follow each position.
Positions (direct):
Fe: 0.5000 0.0000 0.0000  2 Br 2.21
Fe: 0.0000 0.5000 0.0000  2 Br 2.21
Fe: 0.0000 0.0000 0.5000  2 Br 2.21
Ru: 0.5000 0.5000 0.5000  12 Fe 3.13
Br: 0.0000 0.0000 0.0000  6 Fe 2.21

Computed, not measured: an optimized crystal structure of FeRu2Br at the PBE-GGA level of DFT.

Values from the calculation:
The calculation puts the magnetic moment at 4.7 μB/f.u. Its uncorrected formation energy is 0.779 eV/atom. The calculation puts the total DFT energy (no corrections) at -6.392 eV/atom.

a = 2.8465 Å, b = 2.8465 Å, c = 8.7902 Å
α = 90.00°, β = 90.00°, γ = 118.00°
Closest atoms and distances in Å follow each position.
Positions (direct):
Ru: 0.0000 0.0000 0.9771  2 Fe 2.48
Ru: 0.0000 0.0000 0.5229  2 Fe 2.48
Br: 0.5000 0.5000 0.2500  4 Ru 2.81, 6 Br 2.85-2.93
Fe: 0.5000 0.5000 0.7500  4 Ru 2.48

Computed, not measured: an optimized crystal structure of FeRu2Br at the PBE-GGA level of DFT.

Values from the calculation:
The calculation puts the magnetic moment at 4.0 μB/f.u. Its uncorrected formation energy is 0.942 eV/atom. The calculation puts the total DFT energy (no corrections) at -6.229 eV/atom.

a = 4.3769 Å, b = 4.3769 Å, c = 4.3769 Å
α = 60.00°, β = 60.00°, γ = 60.00°
Closest atoms and distances in Å follow each position.
Positions (direct):
Br: 0.5000 0.5000 0.5000  8 Ru 2.68
Ru: 0.2500 0.2500 0.2500  4 Fe 2.68, 4 Br 2.68
Ru: 0.7500 0.7500 0.7500  4 Br 2.68, 4 Fe 2.68
Fe: 0.0000 0.0000 0.0000  8 Ru 2.68

Computed, not measured: an optimized crystal structure of Fe2RuBr at the PBE-GGA level of DFT.

Values from the calculation:
The calculation puts the magnetic moment at 7.1 μB/f.u. Its uncorrected formation energy is 0.803 eV/atom. The calculation puts the total DFT energy (no corrections) at -6.166 eV/atom.

a = 4.4501 Å, b = 4.4501 Å, c = 3.0173 Å
α = 90.00°, β = 90.00°, γ = 90.00°
Closest atoms and distances in Å follow each position.
Positions (direct):
Br: 0.0000 0.5000 0.5000  8 Fe 2.69
Fe: 0.5000 0.5000 0.0000  4 Br 2.69, 4 Ru 2.69
Fe: 0.0000 0.0000 0.0000  4 Br 2.69, 4 Ru 2.69
Ru: 0.5000 0.0000 0.5000  8 Fe 2.69